Density functional theory data (PBE+U) for an optimized crystal structure of FeSi3F.

Calculated values
Space-group type   Pm-3m, No. 221
E_tot   -20.426 eV/cell
Total magnetization   0.6538 μB/atom

a = 4.3255 Å, b = 4.3255 Å, c = 4.3255 Å
α = 90.00°, β = 90.00°, γ = 90.00°
Element x y z (fractional)
1 Fe 0.0000 0.0000 0.0000
2 Si 0.0000 0.5000 0.5000
3 Si 0.5000 0.0000 0.5000
4 Si 0.5000 0.5000 0.0000
5 F 0.5000 0.5000 0.5000